1.
The following is a PBE calculation of a relaxed PmEuMgAl crystal, from Alexandria.

**E_form**: -194 meV per atom
**Space group**: No. 216

Cell: 5.401 5.401 5.401 Å, 60.00 60.00 60.00°
Each line ends with the local moment (μB).
Sites, in units of the cell vectors:
Eu (0.250, 0.250, 0.250)  6.86
Mg (0.000, 0.000, 0.000)  0.01
Al (0.500, 0.500, 0.500)  -0.02
Pm (0.750, 0.750, 0.750)  0.09

2.
The following is a PBE calculation of a relaxed ZrAlPb crystal, from Alexandria.

**Polymorph energy (0 for the lowest one)**: 0.0307 eV per atom
**E_form**: -17 meV per atom
**Space group**: No. 8

Cell: 3.260 3.260 15.380 Å, 83.90 83.91 59.97°
Sites, in units of the cell vectors:
Al (0.047, 0.515, 0.147)
Al (0.334, 0.803, 0.284)
Zr (0.616, 0.086, 0.435)
Zr (0.429, 0.898, 0.999)
Pb (0.892, 0.360, 0.609)
Pb (0.819, 0.290, 0.827)

3.
The following is a PBE calculation of a relaxed ScCoBr2 crystal, from Alexandria.

**ΔE_f (raw)**: -0.567 eV per atom
**Polymorph energy (0 for the lowest one)**: 0.0942 eV per atom
**Space group**: No. 71

Cell: 7.521 7.521 7.521 Å, 152.27 147.91 42.92°
Each line ends with the local moment (μB).
Sites, in units of the cell vectors:
Br (0.879, 0.879, 0.000)  0.04
Br (0.621, 0.621, 0.000)  0.04
Co (0.750, 0.250, 0.500)  1.18
Sc (0.250, 0.750, 0.500)  -0.27

4.
The following is a PBE calculation of a relaxed K2NaZnAu crystal, from Alexandria.

**Polymorph energy (0 for the lowest one)**: 0.0000 eV per atom
**E_form**: -52 meV per atom
**Space group**: No. 123

Cell: 6.375 6.375 5.106 Å, 90.00 90.00 90.00°
Sites, in units of the cell vectors:
Na (0.500, 0.500, 0.500)
Zn (0.000, 0.000, 0.500)
Au (0.000, 0.000, 0.000)
K (0.000, 0.500, 0.000)
K (0.500, 0.000, 0.000)

5.
The following is a PBE calculation of a relaxed MgCCl2 crystal, from Alexandria.

**ΔE_f (raw)**: 0.511 eV per atom
**Polymorph energy (0 for the lowest one)**: 0.0000 eV per atom
**Space group**: No. 166

Cell: 7.928 7.928 7.928 Å, 27.50 27.50 27.50°
Each line ends with the local moment (μB).
Sites, in units of the cell vectors:
Mg (0.500, 0.500, 0.500)  0.00
C (0.000, 0.000, 0.000)  0.95
Cl (0.891, 0.891, 0.891)  0.00
Cl (0.109, 0.109, 0.109)  0.00

Number 1: total energy -5.28 eV per atom, density of states at the Fermi level 7.2 states/eV per cell. Number 2: total energy -5.35 eV per atom, density of states at the Fermi level 4.0 states/eV per cell. Number 3: total energy -4.76 eV per atom, density of states at the Fermi level 2.0 states/eV per cell. Number 4: total energy -1.67 eV per atom, density of states at the Fermi level 4.0 states/eV per cell. Number 5: total energy -3.12 eV per atom, density of states at the Fermi level 0.3 states/eV per cell.